Crystalline Ba2Cd3Hg2 at its relaxed geometry. Source: Alexandria via LeMat-Bulk, functional GGA-PBE.

## Properties
calculated density = 7.57 g cm⁻³
magnetization = 0.0 μB/f.u.
energy of formation = -2.5 eV per formula unit

Lattice parameters (Å, degrees): 11.3413 5.3873 7.5752 90.00 106.13 90.00
With the nearest neighbours (Å) after each atom.
Space group C2/m (No. 12)
Inequivalent atoms, fractional coordinates:
Ba1 0.1394 0.0000 0.2778  4 Hg 3.49-3.59, 7 Cd 3.64-3.81
Cd1 0.0000 0.5000 0.5000  2 Cd 2.99
Cd2 0.0977 0.5000 0.9097  2 Cd 2.91-2.99, 3 Hg 3.04-3.13
Hg1 0.1750 0.0000 0.7639  3 Cd 3.04-3.13